Record 1
Computed, not measured: crystalline V2Pb3O8 at its relaxed geometry at the GGA-PBEsol level of DFT.

Properties
The raw total energy comes out at -97.79 eV per formula unit. The value obtained for the magnetization is 0.00 Bohr magnetons per cell.

a b c (Å): 6.3536 7.3822 9.1476
angles (deg): 67.45 90.00 90.00
Atoms (fractional coordinates):
O1 0.9601 0.3097 0.7272
O2 0.0399 0.6903 0.2728
O3 0.5399 0.8097 0.2272
Pb1 0.1011 0.4025 0.2077
O4 0.4772 0.4522 0.2119
O5 0.2032 0.2761 0.4761
O6 0.2641 0.2540 0.0214
O7 0.2359 0.7540 0.5214
V1 0.9820 0.1987 0.5965
O8 0.7641 0.2460 0.4786
O9 0.4601 0.1903 0.7728
Pb2 0.5000 0.5000 0.5000
Pb3 0.6011 0.0975 0.2923
O10 0.5228 0.5478 0.7881
Pb4 0.8989 0.5975 0.7923
O11 0.7359 0.7460 0.9786
Pb5 0.3989 0.9025 0.7077
Pb6 0.0000 0.0000 0.0000
O12 0.2968 0.7761 0.9761
O13 0.7968 0.7239 0.5239
V2 0.5180 0.6987 0.0965
O14 0.7032 0.2239 0.0239
O15 0.9772 0.0478 0.2881
O16 0.0228 0.9522 0.7119
V3 0.0180 0.8013 0.4035
V4 0.4820 0.3013 0.9035

***

Record 2
Computed, not measured: crystalline LaGeSe2 at its relaxed geometry at the GGA-PBEsol level of DFT.

Properties
The raw total energy comes out at -19.70 eV per formula unit. The value obtained for the magnetization is 0.00 Bohr magnetons per cell.

a b c (Å): 3.8063 3.8063 9.0006
angles (deg): 77.79 77.79 60.00
Atoms (fractional coordinates):
Ge1 0.5000 0.5000 0.5000
La1 0.0000 0.0000 0.0000
Se1 0.1086 0.1086 0.6742
Se2 0.8914 0.8914 0.3258

***

Record 3
Computed, not measured: crystalline LiV2P3O10 at its relaxed geometry at the GGA-PBEsol level of DFT.

Properties
The raw total energy comes out at -124.84 eV per formula unit. The value obtained for the magnetization is 12.00 Bohr magnetons per cell.

a b c (Å): 4.5831 8.5355 9.0455
angles (deg): 90.00 97.35 90.00
Atoms (fractional coordinates):
Li1 0.0000 0.0000 0.0000
O1 0.7140 0.5997 0.8450
P1 0.5398 0.7500 0.8585
O2 0.7089 0.7500 0.5548
O3 0.2860 0.4003 0.1550
O4 0.2911 0.2500 0.4452
V1 0.9680 0.9309 0.6655
O5 0.5625 0.2500 0.7088
O6 0.8420 0.5995 0.1841
O7 0.4436 0.7500 0.0265
O8 0.2309 0.9012 0.4861
Li2 0.0000 0.5000 0.0000
V2 0.9680 0.5691 0.6655
O9 0.8420 0.9005 0.1841
O10 0.2365 0.7500 0.7642
O11 0.1580 0.4005 0.8159
O12 0.7635 0.2500 0.2358
P2 0.3305 0.2500 0.8229
V3 0.0320 0.0691 0.3345
O13 0.2860 0.0997 0.1550
O14 0.7691 0.4012 0.5139
O15 0.4375 0.7500 0.2912
P3 0.6695 0.7500 0.1771
O16 0.2309 0.5988 0.4861
O17 0.7140 0.9003 0.8450
V4 0.0320 0.4309 0.3345
O18 0.5564 0.2500 0.9735
P4 0.4015 0.7500 0.4652
O19 0.1580 0.0995 0.8159
O20 0.7691 0.0988 0.5139
P5 0.5985 0.2500 0.5348
P6 0.4602 0.2500 0.1415

***

Q: What is the formula in the third record?
A: LiV2P3O10

***

Q: Look up the raw total energy of the second one.
A: -19.70 eV per formula unit